No. 1
{"formula": "MnW2Br", "functional": "GGA-PBEsol", "state": "relaxed", "cell": [[4.368, 0.000, 0.000], [2.184, 3.783, 0.000], [2.184, 1.261, 3.567]], "species": ["Mn", "Br", "W", "W"], "frac_coords": [[0.000, 0.000, 0.000], [0.500, 0.500, 0.500], [0.750, 0.750, 0.750], [0.250, 0.250, 0.250]], "formation_energy_uncorrected_ev_per_atom": 1.03, "de_polymorph_ev_per_atom": 0.153}

***

No. 2
{"formula": "MnW3Br", "functional": "GGA-PBEsol", "state": "relaxed", "cell": [[4.500, 0.000, 0.000], [0.000, 4.500, 0.000], [0.000, 0.000, 4.500]], "species": ["W", "W", "W", "Br", "Mn"], "frac_coords": [[0.500, 0.000, 0.000], [0.000, 0.500, 0.000], [0.000, 0.000, 0.500], [0.500, 0.500, 0.500], [0.000, 0.000, 0.000]], "formation_energy_uncorrected_ev_per_atom": 1.84}

***

No. 3
{"formula": "MnW2Br", "functional": "GGA-PBEsol", "state": "relaxed", "cell": [[-0.706, 1.206, -2.488], [2.737, -3.961, -1.642], [-4.620, -0.971, 1.894]], "species": ["W", "W", "Mn", "Br"], "frac_coords": [[0.000, 0.000, 0.500], [0.000, 0.500, 0.000], [0.500, 0.500, 0.500], [0.500, 0.000, 0.000]], "formation_energy_uncorrected_ev_per_atom": 1.04, "de_polymorph_ev_per_atom": 0.165}

***

No. 4
{"formula": "MnW2Br", "functional": "GGA-PBEsol", "state": "relaxed", "cell": [[2.899, 0.000, 0.000], [0.000, 4.472, 0.000], [-1.450, -2.236, 4.443]], "species": ["W", "W", "Mn", "Br"], "frac_coords": [[0.769, 0.269, 0.538], [0.979, 0.979, 0.958], [0.238, 0.738, 0.475], [0.514, 0.514, 0.029]], "formation_energy_uncorrected_ev_per_atom": 0.88, "de_polymorph_ev_per_atom": 0.003}

***

No. 5
{"formula": "MnW2Br", "functional": "GGA-PBEsol", "state": "relaxed", "cell": [[-1.811, -1.951, -1.085], [1.439, -3.015, 3.020], [-3.188, 1.360, 2.876]], "species": ["Mn", "W", "W", "Br"], "frac_coords": [[0.500, 0.000, 0.000], [0.000, 0.000, 0.500], [0.000, 0.500, 0.000], [0.500, 0.500, 0.500]], "formation_energy_uncorrected_ev_per_atom": 0.96, "de_polymorph_ev_per_atom": 0.083}

***

No. 6
{"formula": "Mn2WBr", "functional": "GGA-PBEsol", "state": "relaxed", "cell": [[-1.256, 1.951, -2.031], [-2.849, -0.506, -1.066], [-4.247, 4.601, 4.704]], "species": ["Br", "Mn", "Mn", "W"], "frac_coords": [[0.000, 0.000, 0.000], [0.245, 0.245, 0.266], [0.755, 0.755, 0.734], [0.500, 0.500, 0.500]], "formation_energy_uncorrected_ev_per_atom": 0.53, "de_polymorph_ev_per_atom": 0.000}

***

No. 7
{"formula": "YMnBr2", "functional": "GGA-PBEsol", "state": "relaxed", "cell": [[3.965, 0.000, 0.000], [0.000, 3.965, 0.000], [-1.983, -1.983, 5.647]], "species": ["Mn", "Y", "Br", "Br"], "frac_coords": [[0.500, 0.500, 0.000], [0.250, 0.750, 0.500], [0.000, 0.000, 0.000], [0.750, 0.250, 0.500]], "formation_energy_uncorrected_ev_per_atom": -0.27, "de_polymorph_ev_per_atom": 0.107}

***

No. 8
{"formula": "YMnBr2", "functional": "GGA-PBEsol", "state": "relaxed", "cell": [[3.565, -0.008, -0.013], [-1.684, 5.394, 0.006], [-1.684, -2.293, 4.882]], "species": ["Mn", "Br", "Br", "Y"], "frac_coords": [[0.000, 0.000, 0.000], [0.000, 0.500, 0.000], [0.000, 0.000, 0.500], [0.000, 0.500, 0.500]], "formation_energy_uncorrected_ev_per_atom": -0.38, "de_polymorph_ev_per_atom": 0.000}

***

No. 9
{"formula": "YMnBr2", "functional": "GGA-PBEsol", "state": "relaxed", "cell": [[3.644, 0.000, 0.000], [1.822, 3.156, 0.000], [1.822, 1.052, 8.872]], "species": ["Mn", "Y", "Br", "Br"], "frac_coords": [[0.500, 0.500, 0.500], [0.000, 0.000, 0.000], [0.107, 0.107, 0.679], [0.893, 0.893, 0.321]], "formation_energy_uncorrected_ev_per_atom": -0.33, "de_polymorph_ev_per_atom": 0.045}

***

No. 10
{"formula": "YMnBr", "functional": "GGA-PBEsol", "state": "relaxed", "cell": [[-3.008, 3.446, 0.719], [-3.242, -0.404, 3.282], [0.278, 2.550, 3.856]], "species": ["Mn", "Y", "Br"], "frac_coords": [[0.000, 0.000, 0.000], [0.500, 0.500, 0.500], [0.250, 0.250, 0.250]], "formation_energy_uncorrected_ev_per_atom": 0.27}

***

No. 11
{"formula": "YMnBr", "functional": "GGA-PBEsol", "state": "relaxed", "cell": [[3.343, 0.000, 0.000], [0.000, 3.343, 0.000], [-1.671, -1.671, 6.112]], "species": ["Br", "Mn", "Y"], "frac_coords": [[0.992, 0.992, 0.985], [0.677, 0.677, 0.354], [0.330, 0.330, 0.661]], "formation_energy_uncorrected_ev_per_atom": -0.13}

***

No. 12
{"formula": "Zr2MnBr", "functional": "GGA-PBEsol", "state": "relaxed", "cell": [[3.115, 0.048, 0.000], [-0.094, 3.113, 0.000], [0.000, 0.000, 7.612]], "species": ["Zr", "Zr", "Mn", "Br"], "frac_coords": [[0.000, 0.000, 0.797], [0.000, 0.000, 0.203], [0.500, 0.500, 0.000], [0.500, 0.500, 0.500]], "formation_energy_uncorrected_ev_per_atom": -0.27, "de_polymorph_ev_per_atom": 0.000}

***

No. 13
{"formula": "Zr2MnBr", "functional": "GGA-PBEsol", "state": "relaxed", "cell": [[-3.742, 2.146, -0.775], [0.388, -4.491, -1.915], [-2.243, -3.188, 2.005]], "species": ["Br", "Mn", "Zr", "Zr"], "frac_coords": [[0.500, 0.000, 0.500], [0.000, 0.000, 0.000], [0.250, 0.500, 0.250], [0.750, 0.500, 0.750]], "formation_energy_uncorrected_ev_per_atom": 0.18, "de_polymorph_ev_per_atom": 0.454}

***

No. 14
{"formula": "Zr2MnBr", "functional": "GGA-PBEsol", "state": "relaxed", "cell": [[-2.331, -2.305, 1.356], [1.606, 0.231, 3.154], [-3.840, 4.825, 1.602]], "species": ["Zr", "Zr", "Br", "Mn"], "frac_coords": [[0.000, 0.000, 0.912], [0.500, 0.500, 0.246], [0.000, 0.000, 0.470], [0.500, 0.500, 0.872]], "formation_energy_uncorrected_ev_per_atom": 0.06, "de_polymorph_ev_per_atom": 0.328}

***

No. 15
{"formula": "ZrMnBr2", "functional": "GGA-PBEsol", "state": "relaxed", "cell": [[3.448, 0.000, 0.000], [1.724, 2.986, 0.000], [1.724, 0.995, 8.864]], "species": ["Br", "Br", "Mn", "Zr"], "frac_coords": [[0.982, 0.982, 0.055], [0.773, 0.773, 0.682], [0.501, 0.501, 0.498], [0.245, 0.245, 0.265]], "formation_energy_uncorrected_ev_per_atom": -0.52, "de_polymorph_ev_per_atom": 0.000}

***

No. 16
{"formula": "ZrMnBr2", "functional": "GGA-PBEsol", "state": "relaxed", "cell": [[3.341, 0.000, 0.000], [0.000, 3.341, 0.000], [0.000, 0.000, 7.724]], "species": ["Mn", "Br", "Br", "Zr"], "frac_coords": [[0.000, 0.000, 0.498], [0.500, 0.500, 0.340], [0.000, 0.000, 0.948], [0.500, 0.500, 0.715]], "formation_energy_uncorrected_ev_per_atom": -0.44, "de_polymorph_ev_per_atom": 0.082}

***

No. 17
{"formula": "MoBr2", "functional": "GGA-PBEsol", "state": "relaxed", "cell": [[-1.866, 2.448, 0.878], [-5.598, -4.568, 0.836], [4.681, 1.241, 6.488]], "species": ["Br", "Br", "Br", "Br", "Mo", "Mo"], "frac_coords": [[0.250, 0.876, 0.259], [0.750, 0.124, 0.741], [0.250, 0.617, 0.741], [0.750, 0.383, 0.259], [0.250, 0.372, 0.000], [0.750, 0.628, 0.000]], "formation_energy_uncorrected_ev_per_atom": -0.18, "de_polymorph_ev_per_atom": 0.504}

***

No. 18
{"formula": "MoBr2", "functional": "GGA-PBEsol", "state": "relaxed", "cell": [[-1.359, 6.479, -6.960], [3.804, -7.590, -4.493], [-10.781, -4.287, -1.885]], "species": ["Mo", "Mo", "Mo", "Mo", "Mo", "Mo", "Mo", "Mo", "Mo", "Mo", "Mo", "Mo", "Br", "Br", "Br", "Br", "Br", "Br", "Br", "Br", "Br", "Br", "Br", "Br", "Br", "Br", "Br", "Br", "Br", "Br", "Br", "Br", "Br", "Br", "Br", "Br"], "frac_coords": [[0.568, 0.568, 0.358], [0.932, 0.932, 0.858], [0.378, 0.622, 0.500], [0.358, 0.358, 0.432], [0.432, 0.432, 0.642], [0.878, 0.122, 0.000], [0.068, 0.068, 0.142], [0.122, 0.878, 0.000], [0.858, 0.858, 0.068], [0.142, 0.142, 0.932], [0.622, 0.378, 0.500], [0.642, 0.642, 0.568], [0.047, 0.807, 0.208], [0.087, 0.328, 0.073], [0.790, 0.210, 0.500], [0.547, 0.307, 0.292], [0.693, 0.453, 0.708], [0.413, 0.172, 0.573], [0.351, 0.351, 0.851], [0.672, 0.913, 0.927], [0.328, 0.087, 0.073], [0.807, 0.047, 0.208], [0.851, 0.851, 0.649], [0.953, 0.193, 0.792], [0.307, 0.547, 0.292], [0.587, 0.828, 0.427], [0.193, 0.953, 0.792], [0.828, 0.587, 0.427], [0.149, 0.149, 0.351], [0.290, 0.710, 0.000], [0.649, 0.649, 0.149], [0.710, 0.290, 0.000], [0.210, 0.790, 0.500], [0.453, 0.693, 0.708], [0.172, 0.413, 0.573], [0.913, 0.672, 0.927]], "formation_energy_uncorrected_ev_per_atom": -0.68, "de_polymorph_ev_per_atom": 0.000}

***

No. 19
{"formula": "MoBrN3", "functional": "GGA-PBEsol", "state": "relaxed", "cell": [[-2.463, 2.521, 1.442], [-2.903, -2.081, -1.320], [-0.085, -1.953, 3.268]], "species": ["N", "N", "N", "Br", "Mo"], "frac_coords": [[0.500, 0.000, 0.000], [0.000, 0.500, 0.000], [0.000, 0.000, 0.500], [0.000, 0.000, 0.000], [0.500, 0.500, 0.500]], "formation_energy_uncorrected_ev_per_atom": 2.40}

***

No. 20
{"formula": "MoSBrN2", "functional": "GGA-PBEsol", "state": "relaxed", "cell": [[3.796, 0.000, 0.000], [0.000, 3.796, 0.000], [0.000, 0.000, 4.736]], "species": ["N", "N", "S", "Mo", "Br"], "frac_coords": [[0.000, 0.500, 0.000], [0.500, 0.000, 0.000], [0.000, 0.000, 0.500], [0.500, 0.500, 0.500], [0.000, 0.000, 0.000]], "formation_energy_uncorrected_ev_per_atom": 2.17}

***

No. 21
{"formula": "MoSeBr2N", "functional": "GGA-PBEsol", "state": "relaxed", "cell": [[4.768, 0.000, 0.000], [0.000, 5.094, 0.000], [0.000, 0.000, 5.094]], "species": ["Br", "Br", "Mo", "Se", "N"], "frac_coords": [[0.000, 0.500, 0.000], [0.000, 0.000, 0.500], [0.000, 0.000, 0.000], [0.500, 0.000, 0.000], [0.500, 0.500, 0.500]], "formation_energy_uncorrected_ev_per_atom": 1.00}

***

No. 22
{"formula": "Si2MoBrN", "functional": "GGA-PBEsol", "state": "relaxed", "cell": [[3.865, 0.000, 0.000], [0.000, 4.888, 0.000], [0.000, 0.000, 4.888]], "species": ["Mo", "Si", "Si", "N", "Br"], "frac_coords": [[0.000, 0.000, 0.000], [0.000, 0.500, 0.000], [0.000, 0.000, 0.500], [0.500, 0.000, 0.000], [0.500, 0.500, 0.500]], "formation_energy_uncorrected_ev_per_atom": 0.41}

***

No. 23
{"formula": "NaMo3Br", "functional": "GGA-PBEsol", "state": "relaxed", "cell": [[4.606, 0.000, 0.000], [0.000, 4.606, 0.000], [0.000, 0.000, 4.606]], "species": ["Mo", "Mo", "Mo", "Br", "Na"], "frac_coords": [[0.000, 0.000, 0.500], [0.500, 0.000, 0.000], [0.000, 0.500, 0.000], [0.500, 0.500, 0.500], [0.000, 0.000, 0.000]], "formation_energy_uncorrected_ev_per_atom": 3.05}

***

No. 24
{"formula": "Rb2NaMoBr6", "functional": "GGA-PBEsol", "state": "relaxed", "cell": [[7.635, 0.000, 0.000], [3.818, 6.612, 0.000], [3.818, 2.204, 6.234]], "species": ["Br", "Br", "Br", "Br", "Br", "Br", "Na", "Mo", "Rb", "Rb"], "frac_coords": [[0.763, 0.763, 0.237], [0.763, 0.237, 0.237], [0.237, 0.237, 0.763], [0.237, 0.763, 0.237], [0.237, 0.763, 0.763], [0.763, 0.237, 0.763], [0.500, 0.500, 0.500], [0.000, 0.000, 0.000], [0.250, 0.250, 0.250], [0.750, 0.750, 0.750]], "formation_energy_uncorrected_ev_per_atom": -1.19}

***

No. 25
{"formula": "NbMoBr2", "functional": "GGA-PBEsol", "state": "relaxed", "cell": [[-2.965, 1.686, -2.982], [-3.108, -2.707, -1.882], [-4.364, 0.427, 1.139]], "species": ["Br", "Br", "Mo", "Nb"], "frac_coords": [[0.250, 0.250, 0.250], [0.750, 0.750, 0.750], [0.500, 0.500, 0.500], [0.000, 0.000, 0.000]], "formation_energy_uncorrected_ev_per_atom": 0.68}

***

No. 26
{"formula": "NiMo3Br", "functional": "GGA-PBEsol", "state": "relaxed", "cell": [[-2.009, 2.651, 3.023], [-3.675, -2.582, -0.178], [1.631, -2.551, 3.322]], "species": ["Mo", "Mo", "Mo", "Br", "Ni"], "frac_coords": [[0.500, 0.000, 0.000], [0.000, 0.000, 0.500], [0.000, 0.500, 0.000], [0.500, 0.500, 0.500], [0.000, 0.000, 0.000]], "formation_energy_uncorrected_ev_per_atom": 1.70}

***

No. 27
{"formula": "ScNi2MoBr", "functional": "GGA-PBEsol", "state": "relaxed", "cell": [[4.468, 0.000, 0.000], [0.000, 4.468, 0.000], [0.000, 0.000, 4.769]], "species": ["Ni", "Ni", "Sc", "Br", "Mo"], "frac_coords": [[0.500, 0.000, 0.000], [0.000, 0.500, 0.000], [0.500, 0.500, 0.500], [0.000, 0.000, 0.500], [0.000, 0.000, 0.000]], "formation_energy_uncorrected_ev_per_atom": 0.72}

***

No. 28
{"formula": "MoP2BrO", "functional": "GGA-PBEsol", "state": "relaxed", "cell": [[-1.789, -0.824, -2.977], [3.106, -3.509, -0.896], [-2.719, -3.039, 2.476]], "species": ["O", "P", "P", "Mo", "Br"], "frac_coords": [[0.500, 0.000, 0.000], [0.000, 0.000, 0.500], [0.000, 0.500, 0.000], [0.500, 0.500, 0.500], [0.000, 0.000, 0.000]], "formation_energy_uncorrected_ev_per_atom": 1.26}

***

Number 1: size of the total moment 1.923 μB per cell. Number 2: size of the total moment 0.000 μB per cell. Number 3: size of the total moment 1.959 μB per cell. Number 4: size of the total moment 0.001 μB per cell. Number 5: size of the total moment 1.453 μB per cell. Number 6: size of the total moment 4.952 μB per cell. Number 7: size of the total moment 3.820 μB per cell. Number 8: size of the total moment 3.870 μB per cell. Number 9: size of the total moment 4.146 μB per cell. Number 10: size of the total moment 3.397 μB per cell. Number 11: size of the total moment 3.226 μB per cell. Number 12: size of the total moment 0.000 μB per cell. Number 13: size of the total moment 1.882 μB per cell. Number 14: size of the total moment 0.001 μB per cell. Number 15: size of the total moment 3.165 μB per cell. Number 16: size of the total moment 3.922 μB per cell. Number 17: size of the total moment 0.000 μB per cell. Number 18: size of the total moment 0.000 μB per cell. Number 19: size of the total moment 1.964 μB per cell. Number 20: size of the total moment 2.081 μB per cell. Number 21: size of the total moment 2.550 μB per cell. Number 22: size of the total moment 0.000 μB per cell. Number 23: size of the total moment 2.389 μB per cell. Number 24: size of the total moment 3.000 μB per cell. Number 25: size of the total moment 0.000 μB per cell. Number 26: size of the total moment 0.004 μB per cell. Number 27: size of the total moment 0.000 μB per cell. Number 28: size of the total moment 2.256 μB per cell.